(1)
# Cs3GaSe3, optimized geometry, DFT PBE
# Raw formation energy (kJ/mol of atoms): -106.4
# Final energy (eV/cell): -95.04
data_Cs3GaSe3
_cell_length_a 8.768
_cell_length_b 14.093
_cell_length_c 11.695
_cell_angle_alpha 90.00
_cell_angle_beta 127.94
_cell_angle_gamma 90.00
_space_group_name_H-M_alt 'P 1'
_space_group_IT_number 1
_space_group_name_Hall 'P 1'
loop_
_atom_site_label
_atom_site_type_symbol
_atom_site_fract_x
_atom_site_fract_y
_atom_site_fract_z
Cs1 Cs 0.121 0.132 0.472
Cs2 Cs 0.121 0.368 0.972
Cs3 Cs 0.154 0.068 0.892
Cs4 Cs 0.154 0.432 0.392
Cs5 Cs 0.369 0.705 0.608
Cs6 Cs 0.369 0.795 0.108
Cs7 Cs 0.631 0.205 0.892
Cs8 Cs 0.631 0.295 0.392
Cs9 Cs 0.846 0.568 0.608
Cs10 Cs 0.846 0.932 0.108
Cs11 Cs 0.879 0.632 0.028
Cs12 Cs 0.879 0.868 0.528
Ga1 Ga 0.432 0.052 0.341
Ga2 Ga 0.432 0.448 0.841
Ga3 Ga 0.568 0.552 0.159
Ga4 Ga 0.568 0.948 0.659
Se1 Se 0.156 0.157 0.188
Se2 Se 0.156 0.343 0.688
Se3 Se 0.359 0.605 0.896
Se4 Se 0.359 0.895 0.396
Se5 Se 0.386 0.541 0.251
Se6 Se 0.386 0.959 0.751
Se7 Se 0.614 0.041 0.249
Se8 Se 0.614 0.459 0.749
Se9 Se 0.641 0.105 0.604
Se10 Se 0.641 0.395 0.104
Se11 Se 0.844 0.657 0.312
Se12 Se 0.844 0.843 0.812

(2)
# YMg4Hg, optimized geometry, DFT PBE
# Energy above the most stable polymorph in this dataset (meV/atom): 157
# Energy of formation from the pure elements (meV per atom): -2
# Final energy (eV/cell): -13.15
data_YMg4Hg
_cell_length_a 5.941
_cell_length_b 5.941
_cell_length_c 5.941
_cell_angle_alpha 60.00
_cell_angle_beta 60.00
_cell_angle_gamma 60.00
_space_group_name_H-M_alt 'P 1'
_space_group_IT_number 1
_space_group_name_Hall 'P 1'
loop_
_atom_site_label
_atom_site_type_symbol
_atom_site_fract_x
_atom_site_fract_y
_atom_site_fract_z
Y1 Y 0.000 0.000 0.000
Mg1 Mg 0.375 0.375 0.375
Mg2 Mg 0.375 0.375 0.876
Mg3 Mg 0.375 0.876 0.375
Mg4 Mg 0.876 0.375 0.375
Hg1 Hg 0.750 0.750 0.750

Q: The highest final energy belongs to which entry?
A: YMg4Hg

Please write out number 1 again, unchanged.
# Cs3GaSe3, optimized geometry, DFT PBE
# Raw formation energy (kJ/mol of atoms): -106.4
# Final energy (eV/cell): -95.04
data_Cs3GaSe3
_cell_length_a 8.768
_cell_length_b 14.093
_cell_length_c 11.695
_cell_angle_alpha 90.00
_cell_angle_beta 127.94
_cell_angle_gamma 90.00
_space_group_name_H-M_alt 'P 1'
_space_group_IT_number 1
_space_group_name_Hall 'P 1'
loop_
_atom_site_label
_atom_site_type_symbol
_atom_site_fract_x
_atom_site_fract_y
_atom_site_fract_z
Cs1 Cs 0.121 0.132 0.472
Cs2 Cs 0.121 0.368 0.972
Cs3 Cs 0.154 0.068 0.892
Cs4 Cs 0.154 0.432 0.392
Cs5 Cs 0.369 0.705 0.608
Cs6 Cs 0.369 0.795 0.108
Cs7 Cs 0.631 0.205 0.892
Cs8 Cs 0.631 0.295 0.392
Cs9 Cs 0.846 0.568 0.608
Cs10 Cs 0.846 0.932 0.108
Cs11 Cs 0.879 0.632 0.028
Cs12 Cs 0.879 0.868 0.528
Ga1 Ga 0.432 0.052 0.341
Ga2 Ga 0.432 0.448 0.841
Ga3 Ga 0.568 0.552 0.159
Ga4 Ga 0.568 0.948 0.659
Se1 Se 0.156 0.157 0.188
Se2 Se 0.156 0.343 0.688
Se3 Se 0.359 0.605 0.896
Se4 Se 0.359 0.895 0.396
Se5 Se 0.386 0.541 0.251
Se6 Se 0.386 0.959 0.751
Se7 Se 0.614 0.041 0.249
Se8 Se 0.614 0.459 0.749
Se9 Se 0.641 0.105 0.604
Se10 Se 0.641 0.395 0.104
Se11 Se 0.844 0.657 0.312
Se12 Se 0.844 0.843 0.812

Q: Which value of final energy does entry 2 give?
A: -13.15 eV/cell